A geometry-optimized Ba3LaTl4 structure, computed with PBE.

a = 4.197 Å, b = 4.197 Å, c = 17.019 Å
α = 90.00°, β = 90.00°, γ = 90.00°
Atoms (fractional coordinates):
Ba 0.000 0.000 0.000
Ba 0.000 0.000 0.259
Ba 0.000 0.000 0.741
La 0.000 0.000 0.500
Tl 0.500 0.500 0.126
Tl 0.500 0.500 0.394
Tl 0.500 0.500 0.606
Tl 0.500 0.500 0.874

* SG: P4/mmm, No. 123
* volume: 37.47 Å³ per atom
* ΔE_f: -0.399 eV/atom

---

A geometry-optimized Cd3GaPd structure, computed with PBE.

a = 5.184 Å, b = 5.184 Å, c = 5.184 Å
α = 90.00°, β = 90.00°, γ = 90.00°
Atoms (fractional coordinates):
Cd 0.000 0.000 0.500
Cd 0.000 0.500 0.000
Cd 0.500 0.000 0.000
Ga 0.500 0.500 0.500
Pd 0.000 0.000 0.000

* energy above the lowest structure with this stoichiometry: 0.239 eV/atom
* SG: Pm-3m, No. 221
* volume: 27.86 Å³ per atom
* ΔE_f: 0.126 eV/atom

---

A geometry-optimized TbNdZnTc structure, computed with PBE.

a = 5.018 Å, b = 5.018 Å, c = 5.018 Å
α = 60.00°, β = 60.00°, γ = 60.00°
Atoms (fractional coordinates):
Tb 0.000 0.000 0.000
Nd 0.500 0.500 0.500
Zn 0.750 0.750 0.750
Tc 0.250 0.250 0.250

* SG: F-43m, No. 216
* volume: 22.34 Å³ per atom
* ΔE_f: -0.068 eV/atom

---

A geometry-optimized CaPrGeN3 structure, computed with PBE.

a = 5.951 Å, b = 3.442 Å, c = 8.465 Å
α = 90.00°, β = 100.37°, γ = 90.00°
Atoms (fractional coordinates):
Ca 0.153 0.250 0.179
Ca 0.847 0.750 0.821
Pr 0.260 0.750 0.547
Pr 0.740 0.250 0.453
Ge 0.365 0.250 0.854
Ge 0.635 0.750 0.146
N 0.061 0.250 0.689
N 0.312 0.750 0.964
N 0.459 0.750 0.315
N 0.541 0.250 0.685
N 0.688 0.250 0.036
N 0.939 0.750 0.311

* SG: P2_1/m, No. 11
* volume: 14.21 Å³ per atom
* formation energy from raw total energies: -64.0 kJ/mol of atoms

---

A geometry-optimized Dy3CdIr structure, computed with PBE.

a = 5.809 Å, b = 5.814 Å, c = 8.820 Å
α = 101.38°, β = 101.33°, γ = 113.12°
Atoms (fractional coordinates):
Dy 0.075 0.200 0.279
Dy 0.299 0.799 0.099
Dy 0.300 0.425 0.721
Dy 0.700 0.575 0.279
Dy 0.701 0.201 0.901
Dy 0.925 0.800 0.721
Cd 0.288 0.787 0.497
Cd 0.712 0.213 0.503
Ir 0.250 0.250 0.000
Ir 0.750 0.750 0.000

* SG: P-1, No. 2
* volume: 25.59 Å³ per atom
* ΔE_f: -0.530 eV/atom

---

A geometry-optimized La2Cd2Rh structure, computed with PBE.

a = 7.321 Å, b = 7.321 Å, c = 4.939 Å
α = 90.00°, β = 90.00°, γ = 90.00°
Atoms (fractional coordinates):
La 0.171 0.329 0.000
La 0.329 0.829 0.000
La 0.671 0.171 0.000
La 0.829 0.671 0.000
Cd 0.139 0.639 0.500
Cd 0.361 0.139 0.500
Cd 0.639 0.861 0.500
Cd 0.861 0.361 0.500
Rh 0.000 0.000 0.500
Rh 0.500 0.500 0.500

* SG: P4/mbm, No. 127
* volume: 26.47 Å³ per atom
* ΔE_f: -0.185 eV/atom